# PBE K3Pt5Br12, relaxed
# **Electronic total energy**: -249.27 eV for the cell shown
# **Uncorrected formation energy**: -437 meV/atom
# **M_tot**: 0.5 μB/f.u.
data_K3Pt5Br12
_space_group_name_H-M_alt 'P 1'
_space_group_IT_number 1
_cell_length_a 14.743
_cell_length_b 14.743
_cell_length_c 14.743
_cell_angle_alpha 109.47
_cell_angle_beta 109.47
_cell_angle_gamma 109.47
loop_
_space_group_symop_operation_xyz
'x,y,z'
loop_
_atom_site_label
_atom_site_type_symbol
_atom_site_fract_x
_atom_site_fract_y
_atom_site_fract_z
_atom_site_occupancy
K1 K 0.125 0.250 0.375 1
K2 K 0.125 0.375 0.750 1
K3 K 0.250 0.375 0.125 1
K4 K 0.250 0.875 0.625 1
K5 K 0.375 0.125 0.250 1
K6 K 0.375 0.750 0.125 1
K7 K 0.625 0.250 0.875 1
K8 K 0.625 0.875 0.750 1
K9 K 0.750 0.125 0.375 1
K10 K 0.750 0.625 0.875 1
K11 K 0.875 0.625 0.250 1
K12 K 0.875 0.750 0.625 1
Pt1 Pt 0.000 0.000 0.000 1
Pt2 Pt 0.000 0.000 0.500 1
Pt3 Pt 0.000 0.500 0.000 1
Pt4 Pt 0.000 0.500 0.500 1
Pt5 Pt 0.125 0.750 0.875 1
Pt6 Pt 0.125 0.875 0.250 1
Pt7 Pt 0.250 0.125 0.875 1
Pt8 Pt 0.250 0.625 0.375 1
Pt9 Pt 0.375 0.250 0.625 1
Pt10 Pt 0.375 0.625 0.750 1
Pt11 Pt 0.500 0.000 0.000 1
Pt12 Pt 0.500 0.000 0.500 1
Pt13 Pt 0.500 0.500 0.000 1
Pt14 Pt 0.500 0.500 0.500 1
Pt15 Pt 0.625 0.375 0.250 1
Pt16 Pt 0.625 0.750 0.375 1
Pt17 Pt 0.750 0.375 0.625 1
Pt18 Pt 0.750 0.875 0.125 1
Pt19 Pt 0.875 0.125 0.750 1
Pt20 Pt 0.875 0.250 0.125 1
Br1 Br 0.014 0.188 0.111 1
Br2 Br 0.014 0.326 0.903 1
Br3 Br 0.077 0.688 0.674 1
Br4 Br 0.077 0.889 0.403 1
Br5 Br 0.097 0.611 0.423 1
Br6 Br 0.097 0.986 0.674 1
Br7 Br 0.111 0.014 0.188 1
Br8 Br 0.111 0.597 0.923 1
Br9 Br 0.174 0.188 0.577 1
Br10 Br 0.174 0.486 0.597 1
Br11 Br 0.188 0.111 0.014 1
Br12 Br 0.188 0.577 0.174 1
Br13 Br 0.312 0.326 0.923 1
Br14 Br 0.312 0.486 0.389 1
Br15 Br 0.326 0.903 0.014 1
Br16 Br 0.326 0.923 0.312 1
Br17 Br 0.389 0.312 0.486 1
Br18 Br 0.389 0.577 0.903 1
Br19 Br 0.403 0.077 0.889 1
Br20 Br 0.403 0.826 0.514 1
Br21 Br 0.423 0.097 0.611 1
Br22 Br 0.423 0.826 0.812 1
Br23 Br 0.486 0.389 0.312 1
Br24 Br 0.486 0.597 0.174 1
Br25 Br 0.514 0.403 0.826 1
Br26 Br 0.514 0.611 0.688 1
Br27 Br 0.577 0.174 0.188 1
Br28 Br 0.577 0.903 0.389 1
Br29 Br 0.597 0.174 0.486 1
Br30 Br 0.597 0.923 0.111 1
Br31 Br 0.611 0.423 0.097 1
Br32 Br 0.611 0.688 0.514 1
Br33 Br 0.674 0.077 0.688 1
Br34 Br 0.674 0.097 0.986 1
Br35 Br 0.688 0.514 0.611 1
Br36 Br 0.688 0.674 0.077 1
Br37 Br 0.812 0.423 0.826 1
Br38 Br 0.812 0.889 0.986 1
Br39 Br 0.826 0.514 0.403 1
Br40 Br 0.826 0.812 0.423 1
Br41 Br 0.889 0.403 0.077 1
Br42 Br 0.889 0.986 0.812 1
Br43 Br 0.903 0.014 0.326 1
Br44 Br 0.903 0.389 0.577 1
Br45 Br 0.923 0.111 0.597 1
Br46 Br 0.923 0.312 0.326 1
Br47 Br 0.986 0.674 0.097 1
Br48 Br 0.986 0.812 0.889 1